Entry 1:
# InAuSeO

A relaxed InAuSeO crystal (GGA-PBE, OQMD via LeMat-Bulk).

- Energy relative to the lowest polymorph listed for this composition: 0.0000 eV per atom
- Calculated density: 7.9 Mg/m³

a = 5.647 Å, b = 5.621 Å, c = 10.816 Å
α = 90.00°, β = 92.10°, γ = 90.00°
Fractional coordinates of all 16 atoms:
Se (0.302, 0.040, 0.277)
Se (0.687, 0.645, 0.273)
Se (0.313, 0.145, 0.727)
Se (0.698, 0.540, 0.723)
Au (0.003, 0.846, 0.719)
Au (0.997, 0.346, 0.281)
Au (0.318, 0.090, 0.502)
Au (0.682, 0.590, 0.498)
O (0.255, 0.570, 0.999)
O (0.755, 0.569, 0.999)
O (0.245, 0.069, 0.001)
O (0.745, 0.070, 0.001)
In (0.994, 0.318, 0.907)
In (0.493, 0.821, 0.905)
In (0.006, 0.818, 0.093)
In (0.507, 0.321, 0.095)

=====

Entry 2:
# InSiAuO3

A relaxed InSiAuO3 crystal (GGA-PBE, OQMD via LeMat-Bulk).

- Calculated density: 7.0 Mg/m³
- Raw total energy: -5.9559 eV/atom

a = 2.934 Å, b = 11.033 Å, c = 11.375 Å
α = 90.00°, β = 90.00°, γ = 90.00°
Fractional coordinates of all 24 atoms:
O (0.250, 0.741, 0.928)
O (0.750, 0.812, 0.113)
O (0.250, 0.312, 0.387)
O (0.750, 0.688, 0.613)
O (0.250, 0.188, 0.887)
O (0.750, 0.259, 0.072)
O (0.750, 0.241, 0.572)
O (0.750, 0.935, 0.904)
O (0.750, 0.565, 0.404)
O (0.250, 0.435, 0.596)
O (0.250, 0.065, 0.096)
O (0.250, 0.759, 0.428)
Si (0.750, 0.697, 0.472)
Si (0.250, 0.303, 0.528)
Si (0.750, 0.803, 0.972)
Si (0.250, 0.197, 0.028)
Au (0.250, 0.011, 0.398)
Au (0.750, 0.511, 0.102)
Au (0.750, 0.989, 0.602)
Au (0.250, 0.489, 0.898)
In (0.250, 0.026, 0.801)
In (0.750, 0.974, 0.199)
In (0.750, 0.526, 0.699)
In (0.250, 0.474, 0.301)

=====

Entry 3:
# InSnAu3O4

A relaxed InSnAu3O4 crystal (GGA-PBE, OQMD via LeMat-Bulk).

- Calculated density: 9.5 Mg/m³
- Raw total energy: -4.1818 eV/atom

a = 5.366 Å, b = 5.366 Å, c = 5.366 Å
α = 90.00°, β = 90.00°, γ = 90.00°
Fractional coordinates of all 9 atoms:
O (0.774, 0.774, 0.226)
O (0.226, 0.226, 0.226)
O (0.226, 0.774, 0.774)
O (0.774, 0.226, 0.774)
In (0.000, 0.000, 0.000)
Au (0.500, 0.000, 0.500)
Au (0.500, 0.500, 0.000)
Au (0.000, 0.500, 0.500)
Sn (0.500, 0.500, 0.500)

=====

Entry 4:
# InTcAuO3

A relaxed InTcAuO3 crystal (GGA-PBE, OQMD via LeMat-Bulk).

- Calculated density: 9.7 Mg/m³
- Raw total energy: -6.1116 eV/atom

a = 9.999 Å, b = 2.917 Å, c = 10.703 Å
α = 90.00°, β = 90.00°, γ = 90.00°
Fractional coordinates of all 24 atoms:
Au (0.433, 0.000, 0.095)
Au (0.067, 0.000, 0.595)
Au (0.933, 0.500, 0.405)
Au (0.567, 0.500, 0.905)
O (0.220, 0.500, 0.811)
O (0.786, 0.500, 0.956)
O (0.280, 0.500, 0.311)
O (0.714, 0.500, 0.456)
O (0.214, 0.000, 0.044)
O (0.286, 0.000, 0.544)
O (0.517, 0.000, 0.366)
O (0.017, 0.500, 0.134)
O (0.720, 0.000, 0.689)
O (0.780, 0.000, 0.189)
O (0.483, 0.500, 0.634)
O (0.983, 0.000, 0.866)
In (0.372, 0.000, 0.782)
In (0.128, 0.000, 0.282)
In (0.872, 0.500, 0.718)
In (0.628, 0.500, 0.218)
Tc (0.104, 0.500, 0.962)
Tc (0.604, 0.000, 0.538)
Tc (0.896, 0.000, 0.038)
Tc (0.396, 0.500, 0.462)

=====

Entry 5:
# InTeAuO

A relaxed InTeAuO crystal (GGA-PBE, OQMD via LeMat-Bulk).

- Energy relative to the lowest polymorph listed for this composition: 0.0000 eV per atom
- Calculated density: 9.4 Mg/m³

a = 3.998 Å, b = 3.998 Å, c = 10.080 Å
α = 90.00°, β = 90.00°, γ = 90.00°
Fractional coordinates of all 8 atoms:
In (0.500, 0.500, 0.101)
In (0.000, 0.000, 0.899)
Au (0.000, 0.500, 0.500)
Au (0.500, 0.000, 0.500)
Te (0.000, 0.000, 0.292)
Te (0.500, 0.500, 0.708)
O (0.500, 0.000, 0.000)
O (0.000, 0.500, 0.000)

=====

Entry 6:
# InTeAuO

A relaxed InTeAuO crystal (GGA-PBE, OQMD via LeMat-Bulk).

- Energy relative to the lowest polymorph listed for this composition: 0.1203 eV per atom
- Calculated density: 7.7 Mg/m³

a = 4.305 Å, b = 7.079 Å, c = 6.484 Å
α = 90.00°, β = 90.00°, γ = 90.00°
Fractional coordinates of all 8 atoms:
Au (0.000, 0.707, 0.600)
Au (0.000, 0.293, 0.100)
In (0.500, 0.876, 0.014)
In (0.500, 0.124, 0.514)
Te (0.000, 0.668, 0.185)
Te (0.000, 0.332, 0.685)
O (0.500, 0.123, 0.192)
O (0.500, 0.877, 0.692)

=====

Entry 7:
# ZrInAuO3

A relaxed ZrInAuO3 crystal (GGA-PBE, OQMD via LeMat-Bulk).

- Calculated density: 8.4 Mg/m³
- Raw total energy: -6.7620 eV/atom

a = 10.295 Å, b = 3.242 Å, c = 10.637 Å
α = 90.00°, β = 90.00°, γ = 90.00°
Fractional coordinates of all 24 atoms:
O (0.756, 0.000, 0.684)
O (0.793, 0.500, 0.922)
O (0.207, 0.000, 0.078)
O (0.744, 0.000, 0.184)
O (0.256, 0.500, 0.816)
O (0.977, 0.500, 0.103)
O (0.293, 0.000, 0.578)
O (0.023, 0.000, 0.897)
O (0.244, 0.500, 0.316)
O (0.707, 0.500, 0.422)
O (0.477, 0.000, 0.397)
O (0.523, 0.500, 0.603)
Zr (0.359, 0.500, 0.468)
Zr (0.141, 0.500, 0.968)
Zr (0.641, 0.000, 0.532)
Zr (0.859, 0.000, 0.032)
Au (0.057, 0.000, 0.594)
Au (0.943, 0.500, 0.406)
Au (0.557, 0.500, 0.906)
Au (0.443, 0.000, 0.094)
In (0.110, 0.000, 0.273)
In (0.610, 0.500, 0.227)
In (0.890, 0.500, 0.727)
In (0.390, 0.000, 0.773)

=====

Entry 8:
# InOsAuSe2S

A relaxed InOsAuSe2S crystal (GGA-PBE, OQMD via LeMat-Bulk).

- Calculated density: 8.4 Mg/m³
- Raw total energy: -4.8257 eV/atom

a = 7.950 Å, b = 7.950 Å, c = 9.375 Å
α = 90.00°, β = 90.00°, γ = 152.57°
Fractional coordinates of all 12 atoms:
Se (0.105, 0.895, 0.473)
Se (0.895, 0.105, 0.973)
Se (0.895, 0.105, 0.527)
Se (0.105, 0.895, 0.027)
Os (0.500, 0.500, 0.000)
Os (0.500, 0.500, 0.500)
In (0.831, 0.169, 0.250)
In (0.169, 0.831, 0.750)
Au (0.804, 0.196, 0.750)
Au (0.196, 0.804, 0.250)
S (0.458, 0.542, 0.250)
S (0.542, 0.458, 0.750)

=====

Entry 9:
# InOsAuSeS2

A relaxed InOsAuSeS2 crystal (GGA-PBE, OQMD via LeMat-Bulk).

- Calculated density: 8.4 Mg/m³
- Raw total energy: -4.9622 eV/atom

a = 7.347 Å, b = 7.347 Å, c = 9.668 Å
α = 90.00°, β = 90.00°, γ = 150.86°
Fractional coordinates of all 12 atoms:
S (0.108, 0.892, 0.983)
S (0.108, 0.892, 0.517)
S (0.892, 0.108, 0.483)
S (0.892, 0.108, 0.017)
Os (0.500, 0.500, 0.000)
Os (0.500, 0.500, 0.500)
Au (0.840, 0.160, 0.250)
Au (0.160, 0.840, 0.750)
Se (0.547, 0.453, 0.250)
Se (0.453, 0.547, 0.750)
In (0.809, 0.191, 0.750)
In (0.191, 0.809, 0.250)

=====

Entry 10:
# InOsAu3Se4

A relaxed InOsAu3Se4 crystal (GGA-PBE, OQMD via LeMat-Bulk).

- Calculated density: 8.3 Mg/m³
- Raw total energy: -3.9296 eV/atom

a = 6.226 Å, b = 6.226 Å, c = 6.226 Å
α = 90.00°, β = 90.00°, γ = 90.00°
Fractional coordinates of all 9 atoms:
Os (0.500, 0.500, 0.500)
Se (0.266, 0.734, 0.734)
Se (0.734, 0.266, 0.734)
Se (0.266, 0.266, 0.266)
Se (0.734, 0.734, 0.266)
Au (0.000, 0.500, 0.500)
Au (0.500, 0.000, 0.500)
Au (0.500, 0.500, 0.000)
In (0.000, 0.000, 0.000)

=====

Entry 11:
# InOsAuSe3

A relaxed InOsAuSe3 crystal (GGA-PBE, OQMD via LeMat-Bulk).

- Calculated density: 8.9 Mg/m³
- Raw total energy: -4.7032 eV/atom

a = 7.560 Å, b = 7.560 Å, c = 9.886 Å
α = 90.00°, β = 90.00°, γ = 29.29°
Fractional coordinates of all 12 atoms:
In (0.316, 0.316, 0.750)
In (0.684, 0.684, 0.250)
Os (0.000, 0.000, 0.500)
Os (0.000, 0.000, 0.000)
Au (0.675, 0.675, 0.750)
Au (0.325, 0.325, 0.250)
Se (0.389, 0.389, 0.017)
Se (0.611, 0.611, 0.983)
Se (0.611, 0.611, 0.517)
Se (0.043, 0.043, 0.250)
Se (0.957, 0.957, 0.750)
Se (0.389, 0.389, 0.483)

=====

Entry 12:
# InTe2OsAuSe

A relaxed InTe2OsAuSe crystal (GGA-PBE, OQMD via LeMat-Bulk).

- Calculated density: 8.9 Mg/m³
- Raw total energy: -4.4955 eV/atom

a = 7.825 Å, b = 7.825 Å, c = 10.163 Å
α = 90.00°, β = 90.00°, γ = 149.76°
Fractional coordinates of all 12 atoms:
Te (0.888, 0.112, 0.474)
Te (0.112, 0.888, 0.974)
Te (0.888, 0.112, 0.026)
Te (0.112, 0.888, 0.526)
Os (0.500, 0.500, 0.500)
Os (0.500, 0.500, 0.000)
In (0.172, 0.828, 0.250)
In (0.828, 0.172, 0.750)
Au (0.199, 0.801, 0.750)
Au (0.801, 0.199, 0.250)
Se (0.455, 0.545, 0.750)
Se (0.545, 0.455, 0.250)

=====

The highest calculated density belongs to which entry?
InTcAuO3

=====

The highest calculated density belongs to which entry?
InTcAuO3